No. 1
The following is a DFT calculation (PBE) of a geometry-optimized Tb4Mg3Cd4 structure.

Calculated values
The space-group type is Immm (71). For the energy of formation, the calculation gives -71 meV per atom. The value obtained for the total energy is -2.522 eV/atom. The calculated density is 6.63 g cm⁻³. The density of states at the Fermi level comes out at 9.60 states/eV/f.u.

Lattice parameters (Å, degrees): 10.433 10.433 10.433 161.47 126.28 57.32
Fractional coordinates of all 11 atoms:
Tb  0.020  0.836  0.184
Tb  0.348  0.164  0.184
Tb  0.652  0.836  0.816
Tb  0.980  0.164  0.816
Mg  0.000  0.500  0.500
Mg  0.409  0.409  0.000
Mg  0.591  0.591  0.000
Cd  0.276  0.776  0.500
Cd  0.289  0.000  0.289
Cd  0.711  0.000  0.711
Cd  0.724  0.224  0.500


No. 2
The following is a DFT calculation (PBE) of a geometry-optimized Tb3MgCd structure.

Calculated values
The space-group type is C2/c (15). For the energy of formation, the calculation gives -19 meV per atom. The value obtained for the total energy is -3.299 eV/atom. The energy relative to the lowest polymorph listed for this composition comes out at 61 kJ/mol of formula units. The calculated density is 7.05 g cm⁻³. The density of states at the Fermi level comes out at 6.44 states/eV/f.u.

Lattice parameters (Å, degrees): 6.744 6.744 15.217 94.80 94.80 57.04
Fractional coordinates of all 20 atoms:
Tb  0.018  0.623  0.206
Tb  0.030  0.853  0.887
Tb  0.125  0.488  0.599
Tb  0.147  0.970  0.613
Tb  0.377  0.982  0.294
Tb  0.488  0.125  0.099
Tb  0.512  0.875  0.901
Tb  0.623  0.018  0.706
Tb  0.853  0.030  0.387
Tb  0.875  0.512  0.401
Tb  0.970  0.147  0.113
Tb  0.982  0.377  0.794
Mg  0.346  0.545  0.417
Mg  0.455  0.654  0.083
Mg  0.545  0.346  0.917
Mg  0.654  0.455  0.583
Cd  0.000  0.500  0.000
Cd  0.423  0.577  0.750
Cd  0.500  0.000  0.500
Cd  0.577  0.423  0.250


No. 3
The following is a DFT calculation (PBE) of a geometry-optimized Tb3Mg4Cd2 structure.

Calculated values
The space-group type is C2/m (12). For the energy of formation, the calculation gives -115 meV per atom. The value obtained for the total energy is -2.570 eV/atom. The energy relative to the lowest polymorph listed for this composition comes out at 55 kJ/mol of formula units. The calculated density is 5.78 g cm⁻³. The density of states at the Fermi level comes out at 5.29 states/eV/f.u.

Lattice parameters (Å, degrees): 5.358 5.358 9.415 96.03 96.03 58.84
Fractional coordinates of all 9 atoms:
Tb  0.000  0.000  0.000
Tb  0.366  0.366  0.251
Tb  0.634  0.634  0.749
Mg  0.047  0.047  0.353
Mg  0.321  0.321  0.903
Mg  0.679  0.679  0.097
Mg  0.953  0.953  0.647
Cd  0.286  0.286  0.595
Cd  0.714  0.714  0.405


No. 4
The following is a DFT calculation (PBE) of a geometry-optimized Tb3Mg2Cd2 structure.

Calculated values
The space-group type is P-1 (2). For the energy of formation, the calculation gives -146 meV per atom. The value obtained for the total energy is -2.847 eV/atom. The calculated density is 6.74 g cm⁻³. The density of states at the Fermi level comes out at 7.84 states/eV/f.u.

Lattice parameters (Å, degrees): 5.059 6.029 6.678 92.67 90.02 114.76
Fractional coordinates of all 7 atoms:
Tb  0.000  0.000  0.000
Tb  0.391  0.780  0.301
Tb  0.609  0.220  0.699
Mg  0.304  0.608  0.814
Mg  0.696  0.392  0.186
Cd  0.121  0.244  0.432
Cd  0.879  0.756  0.568